(1)
This record from the Alexandria database describes a relaxed ScCuTc crystal. The functional is PBEsol.

a = 4.1605 Å, b = 4.1605 Å, c = 4.1605 Å
α = 60.00°, β = 60.00°, γ = 60.00°
Each line ends with the local moment (μB).
Sites, in units of the cell vectors:
Tc: 0.5000 0.5000 0.5000  0.42
Cu: 0.2500 0.2500 0.2500  0.05
Sc: 0.0000 0.0000 0.0000  0.00

Results
Relative energy among the computed polymorphs, kJ/mol of formula units: 110
Magnetic moment, μB/cell: 0.5
E_form, meV/atom: 505.2

---

(2)
This record from the Alexandria database describes a relaxed ScCuTc2 crystal. The functional is PBEsol.

a = 4.3413 Å, b = 4.3439 Å, c = 4.3413 Å
α = 119.98°, β = 90.00°, γ = 119.98°
Sites, in units of the cell vectors:
Tc: 0.7500 0.5000 0.2500
Cu: 0.5000 0.0000 0.5000
Tc: 0.0000 0.0000 0.0000
Sc: 0.2500 0.5000 0.7500

Results
Relative energy among the computed polymorphs, kJ/mol of formula units: 14
Magnetic moment, μB/cell: 0.0
E_form, meV/atom: -41.4

---

(3)
This record from the Alexandria database describes a relaxed ScCuTe crystal. The functional is PBEsol.

a = 3.6382 Å, b = 3.6382 Å, c = 5.1221 Å
α = 110.80°, β = 110.80°, γ = 90.00°
Sites, in units of the cell vectors:
Cu: 0.9991 0.9991 0.9982
Sc: 0.3341 0.3341 0.6682
Te: 0.6668 0.6668 0.3336

Results
Uncorrected formation energy, meV/atom: -384
Magnetic moment, μB/cell: 0.0

---

(4)
This record from the Alexandria database describes a relaxed Sc2CuTe crystal. The functional is PBEsol.

a = 3.8163 Å, b = 3.8163 Å, c = 5.7429 Å
α = 90.00°, β = 90.00°, γ = 90.00°
Sites, in units of the cell vectors:
Te: 0.0000 0.0000 0.4582
Sc: 0.0000 0.0000 0.9514
Cu: 0.5000 0.5000 0.8127
Sc: 0.5000 0.5000 0.2777

Results
Relative energy among the computed polymorphs, kJ/mol of formula units: 16
Uncorrected formation energy, meV/atom: -504
Magnetic moment, μB/cell: 0.0

---

(5)
This record from the Alexandria database describes a relaxed Sc2CuTe crystal. The functional is PBEsol.

a = 4.3418 Å, b = 4.3324 Å, c = 5.1112 Å
α = 115.08°, β = 115.13°, γ = 90.00°
Each line ends with the local moment (μB).
Sites, in units of the cell vectors:
Te: 0.5000 0.0000 0.0000  -0.01
Sc: 0.2499 0.2499 0.4998  0.36
Cu: 0.0000 0.5000 0.0000  0.02
Sc: 0.7501 0.7501 0.5002  0.36

Results
Relative energy among the computed polymorphs, kJ/mol of formula units: 29
Uncorrected formation energy, meV/atom: -470
Magnetic moment, μB/cell: 1.0

---

(6)
This record from the Alexandria database describes a relaxed ScCu2Te crystal. The functional is PBEsol.

a = 3.5567 Å, b = 3.5567 Å, c = 5.5102 Å
α = 90.00°, β = 90.00°, γ = 90.00°
Sites, in units of the cell vectors:
Sc: 0.5000 0.5000 0.0000
Cu: 0.0000 0.0000 0.2351
Cu: 0.0000 0.0000 0.7649
Te: 0.5000 0.5000 0.5000

Results
Uncorrected formation energy, meV/atom: -185
Magnetic moment, μB/cell: 0.0

---

(7)
This record from the Alexandria database describes a relaxed ScCuTe crystal. The functional is PBEsol.

a = 4.0071 Å, b = 4.1266 Å, c = 4.1266 Å
α = 120.00°, β = 90.00°, γ = 90.00°
Sites, in units of the cell vectors:
Sc: 0.7254 0.3333 0.6667
Cu: 0.0122 0.0000 0.0000
Te: 0.2623 0.6667 0.3333

Results
Uncorrected formation energy, meV/atom: -534
Magnetic moment, μB/cell: 0.0

---

(8)
This record from the Alexandria database describes a relaxed ScCuTe3 crystal. The functional is PBEsol.

a = 5.0627 Å, b = 5.0627 Å, c = 5.0627 Å
α = 90.00°, β = 90.00°, γ = 90.00°
Sites, in units of the cell vectors:
Te: 0.5000 0.0000 0.0000
Sc: 0.5000 0.5000 0.5000
Te: 0.0000 0.5000 0.0000
Cu: 0.0000 0.0000 0.0000
Te: 0.0000 0.0000 0.5000

Results
Uncorrected formation energy, meV/atom: 51
Magnetic moment, μB/cell: 0.0